(1)
Here is LiIn2BiPt after structural relaxation from the Alexandria database. Energies are from GGA-PBE.

Calculated values
Uncorrected energy (eV per formula unit): -14.735
Crystal system: tetragonal

Lattice parameters (Å, degrees): 5.924 5.924 5.125 90.00 90.00 90.00
Element x y z (fractional)
Li 0.000 0.000 0.000
In 0.000 0.500 0.500
In 0.500 0.000 0.500
Bi 0.500 0.500 0.500
Pt 0.500 0.500 0.000

(2)
Here is Li2PuInBi2 after structural relaxation from the Alexandria database. Energies are from GGA-PBE.

Calculated values
Uncorrected energy (eV per formula unit): -30.572
Crystal system: orthorhombic

Lattice parameters (Å, degrees): 4.894 9.436 6.522 90.00 90.00 90.00
Element x y z (fractional)
Li 0.000 0.000 0.000
Li 0.000 0.000 0.500
Li 0.500 0.157 0.250
Li 0.500 0.843 0.750
Pu 0.500 0.500 0.499
Pu 0.500 0.500 0.999
In 0.000 0.335 0.749
In 0.000 0.665 0.249
Bi 0.000 0.309 0.249
Bi 0.000 0.691 0.749
Bi 0.500 0.147 0.750
Bi 0.500 0.853 0.250

(3)
Here is Li2PuIn2Bi2 after structural relaxation from the Alexandria database. Energies are from GGA-PBE.

Calculated values
Uncorrected energy (eV per formula unit): -33.048
Crystal system: trigonal

Lattice parameters (Å, degrees): 9.699 9.699 9.699 28.66 28.66 28.66
Element x y z (fractional)
Li 0.077 0.077 0.077
Li 0.923 0.923 0.923
Pu 0.500 0.500 0.500
In 0.359 0.359 0.359
In 0.641 0.641 0.641
Bi 0.224 0.224 0.224
Bi 0.776 0.776 0.776

(4)
Here is Rb2LiInBi2 after structural relaxation from the Alexandria database. Energies are from GGA-PBE.

Calculated values
Uncorrected energy (eV per formula unit): -16.770
Crystal system: orthorhombic

Lattice parameters (Å, degrees): 10.050 10.050 10.050 138.46 60.91 137.54
Element x y z (fractional)
Rb 0.169 0.246 0.415
Rb 0.331 0.746 0.076
Rb 0.669 0.254 0.924
Rb 0.831 0.754 0.585
Li 0.250 0.250 0.000
Li 0.750 0.750 0.000
In 0.250 0.750 0.500
In 0.750 0.250 0.500
Bi 0.098 0.745 0.843
Bi 0.402 0.245 0.647
Bi 0.598 0.755 0.353
Bi 0.902 0.255 0.157

(5)
Here is RbLiInBi2 after structural relaxation from the Alexandria database. Energies are from GGA-PBE.

Calculated values
Uncorrected energy (eV per formula unit): -14.917
Crystal system: tetragonal

Lattice parameters (Å, degrees): 4.881 4.881 14.140 90.00 90.00 90.00
Element x y z (fractional)
Rb 0.000 0.000 0.000
Rb 0.500 0.500 0.500
Li 0.000 0.500 0.750
Li 0.500 0.000 0.250
In 0.000 0.500 0.250
In 0.500 0.000 0.750
Bi 0.000 0.000 0.378
Bi 0.000 0.000 0.622
Bi 0.500 0.500 0.122
Bi 0.500 0.500 0.878

(6)
Here is LiInBiRu after structural relaxation from the Alexandria database. Energies are from GGA-PBE.

Calculated values
Uncorrected energy (eV per formula unit): -17.860
Crystal system: cubic

Lattice parameters (Å, degrees): 6.716 6.716 6.716 90.00 90.00 90.00
Element x y z (fractional)
Li 0.000 0.000 0.000
Li 0.000 0.500 0.500
Li 0.500 0.000 0.500
Li 0.500 0.500 0.000
In 0.250 0.250 0.250
In 0.250 0.750 0.750
In 0.750 0.250 0.750
In 0.750 0.750 0.250
Bi 0.250 0.250 0.750
Bi 0.250 0.750 0.250
Bi 0.750 0.250 0.250
Bi 0.750 0.750 0.750
Ru 0.000 0.000 0.500
Ru 0.000 0.500 0.000
Ru 0.500 0.000 0.000
Ru 0.500 0.500 0.500

(7)
Here is LiIn4BiS8 after structural relaxation from the Alexandria database. Energies are from GGA-PBE.

Calculated values
Uncorrected energy (eV per formula unit): -58.266
Crystal system: trigonal

Lattice parameters (Å, degrees): 7.846 7.846 7.846 59.66 59.66 59.66
Element x y z (fractional)
Li 0.000 0.000 0.000
In 0.367 0.367 0.893
In 0.367 0.893 0.367
In 0.750 0.750 0.750
In 0.893 0.367 0.367
Bi 0.368 0.368 0.368
S 0.121 0.121 0.610
S 0.121 0.610 0.121
S 0.131 0.131 0.131
S 0.146 0.626 0.626
S 0.610 0.121 0.121
S 0.616 0.616 0.616
S 0.626 0.146 0.626
S 0.626 0.626 0.146

(8)
Here is LiInBi2S5 after structural relaxation from the Alexandria database. Energies are from GGA-PBE.

Calculated values
Uncorrected energy (eV per formula unit): -37.811
Crystal system: orthorhombic

Lattice parameters (Å, degrees): 8.258 8.258 13.634 90.00 90.00 152.11
Element x y z (fractional)
Li 0.036 0.964 0.500
Li 0.964 0.036 0.000
In 0.275 0.725 0.035
In 0.725 0.275 0.535
Bi 0.368 0.632 0.284
Bi 0.406 0.594 0.704
Bi 0.594 0.406 0.204
Bi 0.632 0.368 0.784
S 0.012 0.988 0.825
S 0.115 0.885 0.073
S 0.217 0.783 0.420
S 0.235 0.765 0.697
S 0.429 0.571 0.097
S 0.571 0.429 0.597
S 0.765 0.235 0.197
S 0.783 0.217 0.920
S 0.885 0.115 0.573
S 0.988 0.012 0.325

(9)
Here is Li4InBi3S8 after structural relaxation from the Alexandria database. Energies are from GGA-PBE.

Calculated values
Uncorrected energy (eV per formula unit): -67.290
Crystal system: trigonal

Lattice parameters (Å, degrees): 7.775 7.775 7.775 60.71 60.71 60.71
Element x y z (fractional)
Li 0.000 0.000 0.000
Li 0.000 0.500 0.500
Li 0.500 0.000 0.500
Li 0.500 0.500 0.000
In 0.500 0.500 0.500
Bi 0.000 0.000 0.500
Bi 0.000 0.500 0.000
Bi 0.500 0.000 0.000
S 0.255 0.255 0.255
S 0.256 0.256 0.733
S 0.256 0.733 0.256
S 0.267 0.744 0.744
S 0.733 0.256 0.256
S 0.744 0.267 0.744
S 0.744 0.744 0.267
S 0.745 0.745 0.745

(10)
Here is LiIn2BiSb after structural relaxation from the Alexandria database. Energies are from GGA-PBE.

Calculated values
Uncorrected energy (eV per formula unit): -13.769
Crystal system: tetragonal

Lattice parameters (Å, degrees): 5.817 5.817 5.024 90.00 90.00 90.00
Element x y z (fractional)
Li 0.000 0.000 0.000
In 0.000 0.500 0.500
In 0.500 0.000 0.500
Bi 0.000 0.000 0.500
Sb 0.500 0.500 0.000

(11)
Here is Li2ScInBi after structural relaxation from the Alexandria database. Energies are from GGA-PBE.

Calculated values
Uncorrected energy (eV per formula unit): -16.892
Crystal system: tetragonal

Lattice parameters (Å, degrees): 5.036 5.036 5.648 90.00 90.00 90.00
Element x y z (fractional)
Li 0.000 0.500 0.000
Li 0.500 0.000 0.000
Sc 0.000 0.000 0.500
In 0.500 0.500 0.500
Bi 0.000 0.000 0.000

(12)
Here is LiScInBi after structural relaxation from the Alexandria database. Energies are from GGA-PBE.

Calculated values
Uncorrected energy (eV per formula unit): -16.011
Crystal system: cubic

Lattice parameters (Å, degrees): 7.258 7.258 7.258 90.00 90.00 90.00
Element x y z (fractional)
Li 0.000 0.000 0.000
Li 0.000 0.500 0.500
Li 0.500 0.000 0.500
Li 0.500 0.500 0.000
Sc 0.000 0.000 0.500
Sc 0.000 0.500 0.000
Sc 0.500 0.000 0.000
Sc 0.500 0.500 0.500
In 0.250 0.250 0.750
In 0.250 0.750 0.250
In 0.750 0.250 0.250
In 0.750 0.750 0.750
Bi 0.250 0.250 0.250
Bi 0.250 0.750 0.750
Bi 0.750 0.250 0.750
Bi 0.750 0.750 0.250